DFT (PBE) results for crystalline AlCN2 at its relaxed geometry.

Lattice parameters (Å, degrees): 4.176 4.176 7.187 90.00 90.00 90.00
Space group I-42d (No. 122)
Inequivalent atoms, fractional coordinates:
1 Al 0.000 0.000 0.000 [4 per cell]
2 C 0.000 0.000 0.500 [4 per cell]
3 N 0.167 0.250 0.625 [8 per cell]

**Uncorrected energy**: -6.8794 eV per atom
**Uncorrected formation energy**: 0.52 eV per atom
**M_tot**: 0.00 μB/f.u.
**E above lowest polymorph**: 710 meV per atom
**DOS(E_F)**: 7.4 states/eV/cell



DFT (PBE) results for crystalline Al2CN at its relaxed geometry.

Lattice parameters (Å, degrees): 5.325 5.325 5.325 90.00 90.00 90.00
Space group Fm-3m (No. 225)
Inequivalent atoms, fractional coordinates:
1 Al 0.250 0.250 0.250 [8 per cell]
2 C 0.000 0.000 0.000 [4 per cell]
3 N 0.000 0.000 0.500 [4 per cell]

**Uncorrected energy**: -5.3766 eV per atom
**Uncorrected formation energy**: 0.88 eV per atom
**M_tot**: 0.00 μB/f.u.
**E above lowest polymorph**: 1255 meV per atom
**DOS(E_F)**: 8.8 states/eV/cell



DFT (PBE) results for crystalline Al2CN at its relaxed geometry.

Lattice parameters (Å, degrees): 2.915 4.209 2.960 90.00 90.10 90.00
Space group P2/m (No. 10)
Inequivalent atoms, fractional coordinates:
1 Al 0.000 0.000 0.000 [1 per cell]
2 Al 0.500 0.500 0.500 [1 per cell]
3 C 0.000 0.500 0.000 [1 per cell]
4 N 0.500 0.000 0.500 [1 per cell]

**Uncorrected energy**: -6.5554 eV per atom
**Uncorrected formation energy**: -0.30 eV per atom
**M_tot**: 0.00 μB/f.u.
**E above lowest polymorph**: 76 meV per atom
**DOS(E_F)**: 1.8 states/eV/cell



DFT (PBE) results for crystalline Al3CN at its relaxed geometry.

Lattice parameters (Å, degrees): 3.953 3.953 3.953 90.00 90.00 90.00
Space group Pm-3m (No. 221)
Inequivalent atoms, fractional coordinates:
1 Al 0.000 0.000 0.500 [3 per cell]
2 C 0.000 0.000 0.000 [1 per cell]
3 N 0.500 0.500 0.500 [1 per cell]

**Uncorrected energy**: -4.9035 eV per atom
**Uncorrected formation energy**: 0.85 eV per atom
**M_tot**: 0.00 μB/f.u.
**E above lowest polymorph**: 0 meV per atom
**DOS(E_F)**: 2.0 states/eV/cell



DFT (PBE) results for crystalline Al5C3N at its relaxed geometry.

Lattice parameters (Å, degrees): 3.3456 3.3456 20.9720 90.00 90.00 120.00
Space group P6_3/mmc (No. 194)
Inequivalent atoms, fractional coordinates:
1 Al 0.0000 0.0000 0.1536 [4 per cell]
2 Al 0.3333 0.6667 0.0478 [4 per cell]
3 Al 0.3333 0.6667 0.2500 [2 per cell]
4 C 0.0000 0.0000 0.0000 [2 per cell]
5 C 0.3333 0.6667 0.1399 [4 per cell]
6 N 0.0000 0.0000 0.2500 [2 per cell]

**Uncorrected energy**: -6.4217 eV per atom
**Uncorrected formation energy**: -0.34 eV per atom
**M_tot**: 0.00 μB/f.u.
**E above lowest polymorph**: 0 meV per atom
**DOS(E_F)**: 0.0 states/eV/cell



DFT (PBE) results for crystalline AlCN2 at its relaxed geometry.

Lattice parameters (Å, degrees): 5.104 5.104 5.104 90.00 90.00 90.00
Space group Fm-3m (No. 225)
Inequivalent atoms, fractional coordinates:
1 Al 0.000 0.000 0.000 [4 per cell]
2 C 0.000 0.000 0.500 [4 per cell]
3 N 0.250 0.250 0.250 [8 per cell]

**Uncorrected energy**: -5.2905 eV per atom
**Uncorrected formation energy**: 2.11 eV per atom
**M_tot**: 0.00 μB/f.u.
**E above lowest polymorph**: 2299 meV per atom
**DOS(E_F)**: 8.2 states/eV/cell



DFT (PBE) results for crystalline Al4C2N at its relaxed geometry.

Lattice parameters (Å, degrees): 6.092 6.092 8.461 90.00 90.00 90.00
Space group P4_122 (No. 91)
Inequivalent atoms, fractional coordinates:
1 Al 0.016 0.255 0.259 [8 per cell]
2 Al 0.252 0.483 0.492 [8 per cell]
3 C 0.246 0.500 0.250 [4 per cell]
4 C 0.249 0.249 0.875 [4 per cell]
5 N 0.000 0.231 0.500 [4 per cell]

**Uncorrected energy**: -6.1181 eV per atom
**Uncorrected formation energy**: -0.15 eV per atom
**M_tot**: 0.00 μB/f.u.
**DOS(E_F)**: 7.0 states/eV/cell



DFT (PBE) results for crystalline Al2CN at its relaxed geometry.

Lattice parameters (Å, degrees): 2.8608 2.8608 15.7588 90.00 90.00 120.00
Space group R3m (No. 160, hexagonal axes)
Inequivalent atoms, fractional coordinates:
1 Al 0.0000 0.0000 0.0000 [3 per cell]
2 Al 0.0000 0.0000 0.1603 [3 per cell]
3 C 0.0000 0.0000 0.5792 [3 per cell]
4 N 0.0000 0.0000 0.7501 [3 per cell]

**Uncorrected energy**: -6.3288 eV per atom
**Uncorrected formation energy**: -0.07 eV per atom
**M_tot**: 0.00 μB/f.u.
**E above lowest polymorph**: 303 meV per atom
**DOS(E_F)**: 2.0 states/eV/cell